Computed, not measured: a geometry-optimized AcPrAl2Ga2 structure at the PBE level of DFT.

Summary:
- calculated density (g/cm3) = 6.14
- volume (Å³/f.u.) = 152
- uncorrected energy (eV for the cell shown) = -25.83

Unit cell a=4.3924 b=4.3924 c=9.0837 alpha=90.00 beta=90.00 gamma=120.00
Atoms (fractional coordinates):
Ac: 0.0000 0.0000 0.0000
Pr: 0.0000 0.0000 0.5000
Al: 0.3333 0.6667 0.7368
Al: 0.6667 0.3333 0.2632
Ga: 0.3333 0.6667 0.2652
Ga: 0.6667 0.3333 0.7348